No. 1
Entry from Alexandria via LeMat-Bulk: a relaxed RbRh6S8 crystal (PBE-GGA).

Output
uncorrected formation energy = -0.451 eV per atom

Cell lengths 9.3178, 9.3178, 11.5500 Å; angles 90.00, 90.00, 120.00 degrees
Closest atoms and distances in Å follow each position.
Space group R-3 (No. 148, hexagonal axes)
Symmetry-distinct sites (fractional):
Rb  0.0000  0.0000  0.0000 (multiplicity 3)  8 S 3.00-3.30
Rh  0.0153  0.8181  0.3877 (multiplicity 18)  5 S 2.31-2.43
S  0.0000  0.0000  0.2594 (multiplicity 6)  3 Rh 2.31
S  0.0283  0.7249  0.5822 (multiplicity 18)  4 Rh 2.37-2.43

***

No. 2
Entry from Alexandria via LeMat-Bulk: a relaxed Ag3P crystal (PBE-GGA).

Output
energy of formation from the pure elements = 0.14 eV/atom

Cell lengths 9.7995, 9.2091, 3.2894 Å; angles 90.00, 90.00, 90.00 degrees
Closest atoms and distances in Å follow each position.
Space group Cmcm (No. 63)
Symmetry-distinct sites (fractional):
Ag  0.0000  0.1299  0.2500 (multiplicity 4)  1 P 2.68, 6 Ag 2.87-2.90
Ag  0.2402  0.1256  0.7500 (multiplicity 8)  1 P 2.58, 6 Ag 2.83-2.87
P  0.0000  0.4206  0.2500 (multiplicity 4)  2 P 2.20

***

No. 3
Entry from Alexandria via LeMat-Bulk: a relaxed CsMgNb crystal (PBE-GGA).

Output
energy of formation from the pure elements = 1.85 eV/atom
offset from the most stable computed form = 31.37 kcal/mol of atoms

Cell lengths 6.6222, 6.6222, 11.5225 Å; angles 90.00, 90.00, 120.00 degrees
Closest atoms and distances in Å follow each position.
Space group P6_3/mmc (No. 194)
Symmetry-distinct sites (fractional):
Cs  0.3333  0.6667  0.2500 (multiplicity 2)  3 Mg 3.82
Mg  0.0000  0.0000  0.2500 (multiplicity 2)  2 Nb 2.88
Nb  0.0000  0.0000  0.0000 (multiplicity 2)  2 Mg 2.88

***

No. 4
Entry from Alexandria via LeMat-Bulk: a relaxed CaTb2Te crystal (PBE-GGA).

Output
uncorrected formation energy = -0.328 eV per atom

Cell lengths 3.9183, 3.9183, 32.8781 Å; angles 90.00, 90.00, 120.00 degrees
Closest atoms and distances in Å follow each position.
Space group R-3m (No. 166, hexagonal axes)
Symmetry-distinct sites (fractional):
Ca  0.0000  0.0000  0.0000 (multiplicity 3)  2 Tb 3.48
Tb  0.0000  0.0000  0.1057 (multiplicity 6)  3 Te 3.02
Te  0.0000  0.0000  0.5000 (multiplicity 3)  6 Tb 3.02

***

No. 5
Entry from Alexandria via LeMat-Bulk: a relaxed ZnAgP2 crystal (PBE-GGA).

Output
energy of formation from the pure elements = 0.14 eV/atom

Cell lengths 8.1483, 2.7354, 6.7856 Å; angles 90.00, 92.43, 90.00 degrees
Closest atoms and distances in Å follow each position.
Space group Cm (No. 8)
Symmetry-distinct sites (fractional):
Zn  0.0000  0.0000  0.0000 (multiplicity 2)  3 P 2.49-2.56, 2 Ag 2.71, 2 Zn 2.74
Ag  0.4293  0.0000  0.6627 (multiplicity 2)  3 P 2.56-2.59, 2 Zn 2.71, 2 Ag 2.74
P  0.1992  0.5000  0.4820 (multiplicity 2)  1 P 2.18
P  0.2328  0.5000  0.1649 (multiplicity 2)  1 P 2.18

***

| no. | magnetic moment (Bohr magnetons per cell) | DOS(E_F) (states/eV/f.u.) |
| --- | --- | --- |
| 1 | 0.00 | 5.49 |
| 2 | 0.00 | 1.07 |
| 3 | 10.56 | 4.02 |
| 4 | 0.00 | 4.46 |
| 5 | 0.00 | 0.98 |